No. 1
## Te2OsRu (GGA-PBEsol)

Data for Te2OsRu after structural relaxation.

It has space group C2/m (No. 12), with a = 8.2464 Å, b = 3.2064 Å, c = 5.5561 Å, α = 90.00°, β = 102.95° and γ = 90.00°. The inequivalent atoms are Te at (0.2494, 0.0000, 0.2485), Os at (0.0000, 0.0000, 0.5000) and Ru at (0.0000, 0.5000, 0.0000).

The density of states at the Fermi level comes out at 6.5 states/eV/cell. As for the volume: 17.9 Å³/atom. Its raw formation energy is 2.174 eV per formula unit. The theoretical density is 12.677 Mg/m³. The total energy is -6.817 eV per atom.

=====

No. 2
## TeOs2Ru (GGA-PBEsol)

Data for TeOs2Ru after structural relaxation.

It has space group R3m (No. 160, hexagonal axes), with a = 2.8935 Å, b = 2.8935 Å, c = 25.7082 Å, α = 90.00°, β = 90.00° and γ = 120.00°. The inequivalent atoms are Te at (0.0000, 0.0000, 0.0000), Os at (0.0000, 0.0000, 0.2461), Os at (0.0000, 0.0000, 0.4986) and Ru at (0.0000, 0.0000, 0.7491).

The density of states at the Fermi level comes out at 12.6 states/eV/cell. As for the volume: 15.5 Å³/atom. Its raw formation energy is 2.619 eV per formula unit. The theoretical density is 16.279 Mg/m³. The total energy is -8.878 eV per atom.

=====

No. 3
## TeOs2Ru (GGA-PBEsol)

Data for TeOs2Ru after structural relaxation.

It has space group C2/m (No. 12), with a = 5.3020 Å, b = 9.7651 Å, c = 2.8857 Å, α = 90.00°, β = 121.85° and γ = 90.00°. The inequivalent atoms are Te at (0.0000, 0.0000, 0.0000), Os at (0.2500, 0.2500, 0.5000) and Ru at (0.0000, 0.5000, 0.0000).

The density of states at the Fermi level comes out at 12.2 states/eV/cell. As for the volume: 15.9 Å³/atom. Its raw formation energy is 3.618 eV per formula unit. The theoretical density is 15.941 Mg/m³. The total energy is -8.628 eV per atom.

=====

No. 4
## Te2Os2Ru (GGA-PBEsol)

Data for Te2Os2Ru after structural relaxation.

It has space group I4/mmm (No. 139), with a = 4.1494 Å, b = 4.1494 Å, c = 11.1711 Å, α = 90.00°, β = 90.00° and γ = 90.00°. The inequivalent atoms are Te at (0.0000, 0.5000, 0.2500), Os at (0.0000, 0.0000, 0.1075) and Ru at (0.0000, 0.0000, 0.5000).

The density of states at the Fermi level comes out at 9.9 states/eV/cell. As for the volume: 19.2 Å³/atom. Its raw formation energy is 6.384 eV per formula unit. The theoretical density is 12.721 Mg/m³. The total energy is -7.055 eV per atom.

=====

No. 5
## TlOs2Ru (GGA-PBEsol)

Data for TlOs2Ru after structural relaxation.

It has space group I-4m2 (No. 119), with a = 3.9207 Å, b = 3.9207 Å, c = 7.9654 Å, α = 90.00°, β = 90.00° and γ = 90.00°. The inequivalent atoms are Tl at (0.0000, 0.0000, 0.0000), Os at (0.0000, 0.0000, 0.5000), Os at (0.0000, 0.5000, 0.2500) and Ru at (0.0000, 0.5000, 0.7500).

The density of states at the Fermi level comes out at 10.1 states/eV/cell. The formation energy from the elements is 0.82 eV per atom. As for the volume: 15.3 Å³/atom. The theoretical density is 18.605 Mg/m³. The total energy is -8.488 eV per atom.

=====

No. 6
## TlOs2Ru (GGA-PBEsol)

Data for TlOs2Ru after structural relaxation.

It has space group Cm (No. 8), with a = 9.0802 Å, b = 2.8186 Å, c = 4.9570 Å, α = 90.00°, β = 99.72° and γ = 90.00°. The inequivalent atoms are Tl at (0.0000, 0.0000, 0.0000), Os at (0.2371, 0.0000, 0.6915), Os at (0.4950, 0.0000, 0.5044) and Ru at (0.2585, 0.5000, 0.2541).

The density of states at the Fermi level comes out at 9.3 states/eV/cell. The formation energy from the elements is 0.71 eV per atom. As for the volume: 15.6 Å³/atom. The theoretical density is 18.218 Mg/m³. The total energy is -8.603 eV per atom.

=====

No. 7
## V2OsRu (GGA-PBEsol)

Data for V2OsRu after structural relaxation.

It has space group Fm-3m (No. 225), with a = 5.9588 Å, b = 5.9588 Å, c = 5.9588 Å, α = 90.00°, β = 90.00° and γ = 90.00°. The inequivalent atoms are V at (0.2500, 0.2500, 0.2500), Os at (0.0000, 0.0000, 0.0000) and Ru at (0.0000, 0.0000, 0.5000).

The density of states at the Fermi level comes out at 20.6 states/eV/cell. The formation energy from the elements is -0.23 eV per atom. As for the volume: 13.2 Å³/atom. The theoretical density is 12.343 Mg/m³. The total energy is -10.645 eV per atom.

=====

No. 8
## OsRuW2 (GGA-PBEsol)

Data for OsRuW2 after structural relaxation.

It has space group I4/mmm (No. 139), with a = 3.9215 Å, b = 3.9215 Å, c = 7.6383 Å, α = 90.00°, β = 90.00° and γ = 90.00°. The inequivalent atoms are Os at (0.0000, 0.0000, 0.0000), Ru at (0.0000, 0.0000, 0.5000) and W at (0.0000, 0.5000, 0.2500).

The density of states at the Fermi level comes out at 7.4 states/eV/cell. The formation energy from the elements is 0.06 eV per atom. As for the volume: 14.7 Å³/atom. The theoretical density is 18.632 Mg/m³. The total energy is -12.436 eV per atom.

=====

No. 9
## OsRuW2 (GGA-PBEsol)

Data for OsRuW2 after structural relaxation.

It has space group P4/mmm (No. 123), with a = 3.9170 Å, b = 3.9170 Å, c = 3.8300 Å, α = 90.00°, β = 90.00° and γ = 90.00°. The inequivalent atoms are Os at (0.0000, 0.0000, 0.0000), Ru at (0.5000, 0.5000, 0.0000) and W at (0.0000, 0.5000, 0.5000).

The density of states at the Fermi level comes out at 3.8 states/eV/cell. The formation energy from the elements is 0.07 eV per atom. As for the volume: 14.7 Å³/atom. The theoretical density is 18.622 Mg/m³. The total energy is -12.433 eV per atom.

=====

No. 10
## OsRuW2 (GGA-PBEsol)

Data for OsRuW2 after structural relaxation.

It has space group Pmmm (No. 47), with a = 2.7653 Å, b = 3.8404 Å, c = 5.5317 Å, α = 90.00°, β = 90.00° and γ = 90.00°. The inequivalent atoms are Os at (0.0000, 0.0000, 0.0000), Ru at (0.0000, 0.0000, 0.5000) and W at (0.5000, 0.5000, 0.2507).

The density of states at the Fermi level comes out at 3.6 states/eV/cell. The formation energy from the elements is 0.07 eV per atom. As for the volume: 14.7 Å³/atom. The theoretical density is 18.627 Mg/m³. The total energy is -12.433 eV per atom.

=====

No. 11
## Os3RuW (GGA-PBEsol)

Data for Os3RuW after structural relaxation.

It has space group Pm-3m (No. 221), with a = 4.5194 Å, b = 4.5194 Å, c = 4.5194 Å, α = 90.00°, β = 90.00° and γ = 90.00°. The inequivalent atoms are Os at (0.0000, 0.0000, 0.5000), Ru at (0.0000, 0.0000, 0.0000) and W at (0.5000, 0.5000, 0.5000).

The density of states at the Fermi level comes out at 8.9 states/eV/cell. The formation energy from the elements is 2.73 eV per atom. As for the volume: 18.5 Å³/atom. The theoretical density is 15.391 Mg/m³. The total energy is -9.397 eV per atom.

=====

No. 12
## OsRuW2 (GGA-PBEsol)

Data for OsRuW2 after structural relaxation.

It has space group R-3m (No. 166, hexagonal axes), with a = 2.7571 Å, b = 2.7571 Å, c = 26.8643 Å, α = 90.00°, β = 90.00° and γ = 120.00°. The inequivalent atoms are Os at (0.0000, 0.0000, 0.0000), Ru at (0.0000, 0.0000, 0.5000) and W at (0.0000, 0.0000, 0.2495).

The density of states at the Fermi level comes out at 10.5 states/eV/cell. The formation energy from the elements is 0.16 eV per atom. As for the volume: 14.7 Å³/atom. The theoretical density is 18.563 Mg/m³. The total energy is -12.337 eV per atom.

=====

No. 13
## YOs2Ru (GGA-PBEsol)

Data for YOs2Ru after structural relaxation.

It has space group Pmmm (No. 47), with a = 2.9866 Å, b = 4.5434 Å, c = 4.6971 Å, α = 90.00°, β = 90.00° and γ = 90.00°. The inequivalent atoms are Y at (0.0000, 0.0000, 0.0000), Os at (0.0000, 0.5000, 0.5000), Os at (0.5000, 0.0000, 0.5000) and Ru at (0.5000, 0.5000, 0.0000).

The density of states at the Fermi level comes out at 5.0 states/eV/cell. The formation energy from the elements is 0.36 eV per atom. As for the volume: 15.9 Å³/atom. The theoretical density is 14.862 Mg/m³. The total energy is -9.995 eV per atom.

=====

No. 14
## YOsRu (GGA-PBEsol)

Data for YOsRu after structural relaxation.

It has space group P-6m2 (No. 187), with a = 4.1182 Å, b = 4.1182 Å, c = 4.1658 Å, α = 90.00°, β = 90.00° and γ = 120.00°. The inequivalent atoms are Y at (0.0000, 0.0000, 0.0000), Os at (0.3333, 0.6667, 0.5000) and Ru at (0.6667, 0.3333, 0.5000).

The density of states at the Fermi level comes out at 2.3 states/eV/cell. The formation energy from the elements is 0.08 eV per atom. As for the volume: 20.4 Å³/atom. The theoretical density is 10.319 Mg/m³. The total energy is -9.656 eV per atom.

=====

No. 15
## YOs2Ru (GGA-PBEsol)

Data for YOs2Ru after structural relaxation.

It has space group P4/mmm (No. 123), with a = 3.9352 Å, b = 3.9352 Å, c = 4.1346 Å, α = 90.00°, β = 90.00° and γ = 90.00°. The inequivalent atoms are Y at (0.0000, 0.0000, 0.0000), Os at (0.0000, 0.5000, 0.5000) and Ru at (0.5000, 0.5000, 0.0000).

The density of states at the Fermi level comes out at 6.3 states/eV/cell. The formation energy from the elements is 0.37 eV per atom. As for the volume: 16.0 Å³/atom. The theoretical density is 14.794 Mg/m³. The total energy is -9.986 eV per atom.

=====

No. 16
## Y2OsRu (GGA-PBEsol)

Data for Y2OsRu after structural relaxation.

It has space group Amm2 (No. 38), with a = 4.2372 Å, b = 4.3177 Å, c = 9.8905 Å, α = 90.00°, β = 90.00° and γ = 90.00°. The inequivalent atoms are Y at (0.0000, 0.0000, 0.0000), Y at (0.5000, 0.0000, 0.2931), Os at (0.0000, 0.0000, 0.7002) and Ru at (0.5000, 0.0000, 0.5960).

The density of states at the Fermi level comes out at 5.6 states/eV/cell. The formation energy from the elements is -0.12 eV per atom. As for the volume: 22.6 Å³/atom. The theoretical density is 8.610 Mg/m³. The total energy is -9.130 eV per atom.

=====

No. 17
## Y2OsRu (GGA-PBEsol)

Data for Y2OsRu after structural relaxation.

It has space group Pmm2 (No. 25), with a = 3.1176 Å, b = 4.4056 Å, c = 5.6890 Å, α = 90.00°, β = 90.00° and γ = 90.00°. The inequivalent atoms are Y at (0.0000, 0.0000, 0.0000), Y at (0.5000, 0.5000, 0.3491), Os at (0.0000, 0.0000, 0.5303) and Ru at (0.5000, 0.5000, 0.8109).

The density of states at the Fermi level comes out at 5.4 states/eV/cell. The formation energy from the elements is 0.29 eV per atom. As for the volume: 19.5 Å³/atom. The theoretical density is 9.969 Mg/m³. The total energy is -8.720 eV per atom.

=====

No. 18
## YOs2Ru2 (GGA-PBEsol)

Data for YOs2Ru2 after structural relaxation.

It has space group I4/mmm (No. 139), with a = 4.0729 Å, b = 4.0729 Å, c = 10.5841 Å, α = 90.00°, β = 90.00° and γ = 90.00°. The inequivalent atoms are Y at (0.0000, 0.0000, 0.0000), Os at (0.0000, 0.0000, 0.3897) and Ru at (0.0000, 0.5000, 0.2500).

The density of states at the Fermi level comes out at 11.2 states/eV/cell. The formation energy from the elements is 0.10 eV per atom. As for the volume: 17.6 Å³/atom. The theoretical density is 12.702 Mg/m³. The total energy is -10.224 eV per atom.

=====

No. 19
## ZnOsRu3 (GGA-PBEsol)

Data for ZnOsRu3 after structural relaxation.

It has space group Pm-3m (No. 221), with a = 4.6005 Å, b = 4.6005 Å, c = 4.6005 Å, α = 90.00°, β = 90.00° and γ = 90.00°. The inequivalent atoms are Zn at (0.0000, 0.0000, 0.0000), Os at (0.5000, 0.5000, 0.5000) and Ru at (0.0000, 0.5000, 0.5000).

The density of states at the Fermi level comes out at 6.9 states/eV/cell. The formation energy from the elements is 1.87 eV per atom. As for the volume: 19.5 Å³/atom. The theoretical density is 9.531 Mg/m³. The total energy is -6.997 eV per atom.

=====

No. 20
## ZnOs2Ru (GGA-PBEsol)

Data for ZnOs2Ru after structural relaxation.

It has space group Pmmm (No. 47), with a = 2.8088 Å, b = 4.4269 Å, c = 4.4534 Å, α = 90.00°, β = 90.00° and γ = 90.00°. The inequivalent atoms are Zn at (0.0000, 0.0000, 0.0000), Os at (0.0000, 0.5000, 0.5000), Os at (0.5000, 0.0000, 0.5000) and Ru at (0.5000, 0.5000, 0.0000).

The density of states at the Fermi level comes out at 4.8 states/eV/cell. The formation energy from the elements is 0.45 eV per atom. As for the volume: 13.8 Å³/atom. The theoretical density is 16.401 Mg/m³. The total energy is -8.600 eV per atom.